1.
A relaxed structure of TaZn2Au. Source: the Alexandria database, functional GGA-PBE.

a = 5.6010 Å, b = 5.6010 Å, c = 5.6010 Å
α = 151.06°, β = 128.86°, γ = 59.83°
Last column: nearest neighbours and their distance in Å.
Element x y z (fractional)
Au 0.4922 0.4922 0.0000  6 Zn 2.76-2.80, 2 Au 2.80, 2 Ta 2.89
Ta 0.7525 0.2525 0.5000  6 Zn 2.79-2.85, 2 Ta 2.80, 2 Au 2.89
Zn 0.0085 0.0085 0.0000  4 Zn 2.70-2.80, 4 Au 2.80, 2 Ta 2.85
Zn 0.2468 0.7468 0.5000  4 Zn 2.70-2.80, 2 Au 2.76, 4 Ta 2.79

Calculated values
- Calculated volume: 65.7 Å³/cell
- DOS(E_F): 0.6118 states/eV/atom
- E above lowest polymorph: 182.2 meV/atom
- Crystal system: orthorhombic

2.
A relaxed structure of TaZnAu2. Source: the Alexandria database, functional GGA-PBE.

a = 3.9926 Å, b = 3.9926 Å, c = 9.7366 Å
α = 78.17°, β = 78.17°, γ = 90.00°
Last column: nearest neighbours and their distance in Å.
Element x y z (fractional)
Zn 0.5000 0.5000 0.0000  4 Au 2.71, 4 Ta 2.82
Zn 0.2500 0.7500 0.5000  4 Au 2.71, 4 Ta 2.82
Au 0.6178 0.1250 0.2500  2 Zn 2.71, 2 Ta 2.73, 4 Au 2.78-2.86
Au 0.1322 0.6250 0.2500  2 Zn 2.71, 2 Ta 2.73, 4 Au 2.78-2.86
Au 0.3750 0.3822 0.7500  2 Zn 2.71, 2 Ta 2.73, 4 Au 2.78-2.86
Au 0.8750 0.8678 0.7500  2 Zn 2.71, 2 Ta 2.73, 4 Au 2.78-2.86
Ta 0.0000 0.0000 0.0000  4 Au 2.73, 4 Zn 2.82
Ta 0.7500 0.2500 0.5000  4 Au 2.73, 4 Zn 2.82

Calculated values
- Calculated volume: 148.5 Å³/cell
- Calculated total energy: -4.573 eV per atom
- DOS(E_F): 0.4411 states/eV/atom
- Crystal system: tetragonal

3.
A relaxed structure of TaZn2Au. Source: the Alexandria database, functional GGA-PBE.

a = 4.9384 Å, b = 4.9384 Å, c = 4.9384 Å
α = 132.01°, β = 132.01°, γ = 70.22°
Last column: nearest neighbours and their distance in Å.
Element x y z (fractional)
Au 0.5000 0.5000 0.0000  8 Zn 2.84-2.85, 4 Ta 2.85
Ta 0.7500 0.2500 0.5000  8 Zn 2.84-2.85, 4 Au 2.85
Zn 0.0000 0.0000 0.0000  4 Au 2.84, 4 Ta 2.85, 4 Zn 2.85
Zn 0.2500 0.7500 0.5000  4 Ta 2.84, 4 Au 2.85, 4 Zn 2.85

Calculated values
- Calculated volume: 65.2 Å³/cell
- DOS(E_F): 0.5540 states/eV/atom
- E above lowest polymorph: 184.9 meV/atom
- Crystal system: tetragonal

4.
A relaxed structure of TaZn2Au3. Source: the Alexandria database, functional GGA-PBE.

a = 2.9750 Å, b = 2.9750 Å, c = 11.3520 Å
α = 90.00°, β = 90.00°, γ = 90.00°
Last column: nearest neighbours and their distance in Å.
Element x y z (fractional)
Ta 0.5000 0.5000 0.5000  8 Au 2.89, 4 Ta 2.97
Zn 0.5000 0.5000 0.8379  8 Au 2.80, 4 Zn 2.97
Zn 0.5000 0.5000 0.1621  8 Au 2.80, 4 Zn 2.97
Au 0.0000 0.0000 0.0000  8 Zn 2.80, 4 Au 2.97
Au 0.0000 0.0000 0.6751  4 Zn 2.80, 4 Ta 2.89, 4 Au 2.97
Au 0.0000 0.0000 0.3249  4 Zn 2.80, 4 Ta 2.89, 4 Au 2.97

Calculated values
- Calculated volume: 100.5 Å³/cell
- Calculated total energy: -4.195 eV per atom
- DOS(E_F): 0.3786 states/eV/atom
- Crystal system: tetragonal